A plane-wave DFT calculation with PBE was carried out for a relaxed CoCuHPt2 crystal.

Results
Fermi-level density of states = 4.25 states/eV/f.u.
electronic total energy = -5.301 eV per atom
ρ = 14.70 Mg/m³

Cell lengths 3.9595, 3.9595, 3.7005 Å; angles 90.00, 90.00, 90.00 degrees
Closest atoms and distances in Å follow each position.
Space group P4/mmm (No. 123)
Asymmetric unit:
Co: 0.0000 0.0000 0.0000 [1 per cell]  2 H 1.85
Cu: 0.5000 0.5000 0.0000 [1 per cell]  8 Pt 2.71, 4 Co 2.80
H: 0.0000 0.0000 0.5000 [1 per cell]  2 Co 1.85, 4 Pt 1.98
Pt: 0.0000 0.5000 0.5000 [2 per cell]  2 H 1.98

---

A plane-wave DFT calculation with PBE was carried out for a relaxed Pm2Sm6Er3In crystal.

Results
Fermi-level density of states = 13.60 states/eV/f.u.
DFT formation energy = -0.050 eV per atom
ρ = 7.87 Mg/m³

Cell lengths 6.1557, 10.6775, 11.7996 Å; angles 90.00, 100.04, 90.00 degrees
Closest atoms and distances in Å follow each position.
Space group C2/m (No. 12)
Asymmetric unit:
Pm: 0.0000 0.1663 0.0000 [4 per cell]  3 Pm 3.55-3.56, 3 In 3.55-3.56, 6 Sm 3.58-3.59
Sm: 0.2426 0.5000 0.7479 [4 per cell]  6 Sm 3.48-3.60, 3 Er 3.53-3.56, 1 In 3.55, 2 Pm 3.59
Sm: 0.2469 0.3367 0.2512 [8 per cell]  6 Sm 3.48-3.60, 3 Er 3.53-3.57, 1 In 3.54, 2 Pm 3.58
Er: 0.0000 0.0000 0.5000 [2 per cell]  6 Sm 3.53-3.56, 6 Er 3.55-3.56
Er: 0.0000 0.3329 0.5000 [4 per cell]  6 Sm 3.53-3.57, 6 Er 3.55-3.57
In: 0.0000 0.5000 0.0000 [2 per cell]  6 Sm 3.54-3.55, 6 Pm 3.55-3.56